## Er2Fe12Ge7 (PBE-GGA)

Data for a relaxed Er2Fe12Ge7 crystal.

Output
D(E_F)   19.31 states/eV per cell
Formation energy   -0.23 eV per atom
Total energy   -7.04 eV per atom

The structure in extended XYZ format:
```
21
Lattice="-1.2472 3.6261 0.7709 -5.7283 -0.4000 -7.3861 -2.9977 -2.8174 8.4027" Properties=species:S:1:pos:R:3 pbc="T T T"
Ge -3.9079 -2.0116 3.1397
Ge -2.9655 -2.3414 6.2159
Ge -5.9317 -0.0054 0.3513
Ge -3.4149 1.4068 -2.2197
Ge -1.8530 -0.8363 0.9361
Ge -6.9785 0.4203 -3.3449
Ge -6.9052 -2.8570 2.2672
Er -4.8181 -1.2058 -2.1232
Er -0.6236 1.8130 0.3854
Fe -5.8977 -0.5131 2.7943
Fe -7.8436 -0.3398 -1.1692
Fe -5.7360 -2.9070 4.3940
Fe -4.1538 -1.5982 0.7976
Fe -1.8340 -1.5295 4.2276
Fe -3.3153 0.3937 2.7069
Fe -6.6125 -2.2642 -0.0478
Fe -4.3815 -0.4763 5.0744
Fe -2.0740 -0.4098 -1.4279
Fe -5.7679 -0.9435 -4.8939
Fe -4.8589 1.3337 -4.2119
Fe -3.6227 0.8278 0.1679
```

=====

## ErFe5Ge2 (PBE-GGA)

Data for a relaxed ErFe5Ge2 crystal.

Output
D(E_F)   5.86 states/eV per cell
Formation energy   -0.19 eV per atom
Total energy   -7.20 eV per atom

The structure in extended XYZ format:
```
8
Lattice="-2.6155 2.1853 -0.8494 -0.1884 0.2184 -6.1207 -4.5944 -3.4827 -2.0757" Properties=species:S:1:pos:R:3 pbc="T T T"
Fe -2.5963 0.8870 -4.2489
Fe -4.8020 -1.9660 -4.7970
Fe -4.2048 -0.4641 -2.7722
Fe -2.3914 -1.6321 -4.0982
Fe -3.1935 -0.6148 -6.2736
Ge -1.8282 -0.2159 -2.1889
Ge -5.5701 -0.8630 -6.8570
Er 0.0000 0.0000 0.0000
```

=====

Computed size of the total moment (Bohr magnetons per cell) in order:
23.44, 10.29